A plane-wave DFT calculation with PBE+U was carried out for NbTlVO4 after structural relaxation.

abc: 5.629 5.703 9.283
angles: 90.00 123.72 90.00
Each line ends with the local moment (μB).
Fractional positions:
Nb 0.200 0.750 0.353  0.08
Nb 0.800 0.250 0.647  0.08
Tl 0.543 0.750 0.863  0.00
Tl 0.457 0.250 0.137  0.00
V 0.802 0.750 0.466  2.60
V 0.198 0.250 0.534  2.60
O 0.049 0.494 0.665  -0.01
O 0.951 0.994 0.335  -0.01
O 0.951 0.506 0.335  -0.01
O 0.049 0.006 0.665  -0.01
O 0.363 0.750 0.223  0.01
O 0.637 0.250 0.777  0.01
O 0.538 0.750 0.576  0.03
O 0.462 0.250 0.424  0.03

Computed properties:
As for the uncorrected energy: -104.15 eV for the cell shown. For the total magnetic moment, the calculation gives 6.00 μB per cell.